{
  "formula": "CrF6",
  "functional": "PBE+U",
  "state": "relaxed",
  "cell": [[5.0237, 0.0000, 0.0000], [0.0000, 8.7186, 0.0000], [0.0000, 0.0000, 9.5039]],
  "species": ["F", "F", "F", "F", "F", "F", "F", "F", "F", "F", "F", "F", "F", "F", "F", "F", "F", "F", "F", "F", "F", "F", "F", "F", "Cr", "Cr", "Cr", "Cr"],
  "fractional_positions": [[0.2658, 0.1074, 0.0250], [0.8056, 0.2500, 0.5177], [0.9357, 0.1075, 0.7339], [0.3646, 0.2500, 0.7406], [0.0643, 0.8925, 0.2661], [0.3056, 0.7500, 0.9823], [0.5643, 0.1075, 0.2339], [0.4357, 0.8925, 0.7661], [0.8646, 0.7500, 0.7594], [0.7658, 0.6074, 0.4750], [0.7658, 0.8926, 0.4750], [0.1354, 0.2500, 0.2406], [0.7342, 0.8926, 0.9750], [0.2342, 0.1074, 0.5250], [0.6354, 0.7500, 0.2594], [0.4357, 0.6075, 0.7661], [0.9357, 0.3925, 0.7339], [0.5643, 0.3925, 0.2339], [0.0643, 0.6075, 0.2661], [0.2342, 0.3926, 0.5250], [0.1944, 0.7500, 0.4823], [0.2658, 0.3926, 0.0250], [0.6944, 0.2500, 0.0177], [0.7342, 0.6074, 0.9750], [0.0846, 0.2500, 0.6293], [0.9154, 0.7500, 0.3707], [0.4154, 0.2500, 0.1293], [0.5846, 0.7500, 0.8707]],
  "e_tot_ev_per_atom": -4.394,
  "vol_a3_per_cell": 416.3,
  "crystal_system": "orthorhombic",
  "spacegroup": "No. 62"
}

{
  "formula": "CrF5",
  "functional": "PBE+U",
  "state": "relaxed",
  "cell": [[-3.2018, 5.5999, 7.2078], [0.1869, -4.2239, 3.3647], [6.4190, -0.5477, 3.2769]],
  "species": ["Cr", "Cr", "Cr", "Cr", "F", "F", "F", "F", "F", "F", "F", "F", "F", "F", "F", "F", "F", "F", "F", "F", "F", "F", "F", "F"],
  "fractional_positions": [[0.7499, 0.2368, 0.0092], [0.2499, 0.7632, 0.4908], [0.7501, 0.2368, 0.5092], [0.2501, 0.7632, 0.9908], [0.1063, 0.5736, 0.1129], [0.8937, 0.4264, 0.8871], [0.8940, 0.0470, 0.6311], [0.3395, 0.0622, 0.4497], [0.3937, 0.5736, 0.6129], [0.8206, 0.2368, 0.2592], [0.6063, 0.4264, 0.3871], [0.1605, 0.0622, 0.9497], [0.8397, 0.5355, 0.4684], [0.1060, 0.9530, 0.3689], [0.3397, 0.4645, 0.0316], [0.6605, 0.9378, 0.5503], [0.1794, 0.7632, 0.7408], [0.6794, 0.2368, 0.7592], [0.6603, 0.5355, 0.9684], [0.6060, 0.0470, 0.1311], [0.1603, 0.4645, 0.5316], [0.3206, 0.7632, 0.2408], [0.3940, 0.9530, 0.8689], [0.8395, 0.9378, 0.0503]],
  "e_tot_ev_per_atom": -4.742,
  "vol_a3_per_cell": 350.6,
  "crystal_system": "monoclinic",
  "spacegroup": "No. 14"
}

{
  "formula": "CrF2",
  "functional": "PBE+U",
  "state": "relaxed",
  "cell": [[-0.7736, -3.1041, 1.5457], [3.7630, 0.5255, 2.9386], [-2.6833, 2.7567, 2.9432]],
  "species": ["F", "F", "F", "F", "Cr", "Cr"],
  "fractional_positions": [[0.5417, 0.2003, 0.7980], [0.4583, 0.7997, 0.2020], [0.0417, 0.2997, 0.2980], [0.9583, 0.7003, 0.7020], [0.0000, 0.0000, 0.0000], [0.5000, 0.5000, 0.5000]],
  "e_tot_ev_per_atom": -6.323,
  "vol_a3_per_cell": 82.1,
  "crystal_system": "monoclinic",
  "spacegroup": "No. 14"
}

{
  "formula": "CrF",
  "functional": "PBE+U",
  "state": "relaxed",
  "cell": [[-0.1597, -3.2287, 0.8540], [2.4253, 1.9392, 1.2397], [-4.0423, 1.6209, 5.3725]],
  "species": ["Cr", "Cr", "F", "F"],
  "fractional_positions": [[0.3333, 0.6667, 0.6925], [0.6667, 0.3333, 0.1925], [0.6667, 0.3333, 0.8895], [0.3333, 0.6667, 0.3895]],
  "e_tot_ev_per_atom": -5.930,
  "polymorph_energy_mev_per_atom": 209,
  "vol_a3_per_cell": 67.0,
  "crystal_system": "hexagonal",
  "spacegroup": "No. 186"
}

{
  "formula": "CrF5",
  "functional": "PBE+U",
  "state": "relaxed",
  "cell": [[-3.1849, 1.7682, 3.7651], [-2.9087, -1.6278, -4.0292], [2.8350, -6.4450, 1.8879]],
  "species": ["F", "F", "F", "F", "F", "F", "F", "F", "F", "F", "Cr", "Cr"],
  "fractional_positions": [[0.1377, 0.7822, 0.4592], [0.8575, 0.2171, 0.5389], [0.8493, 0.1697, 0.1339], [0.5361, 0.7161, 0.3671], [0.6502, 0.9042, 0.7499], [0.1461, 0.8294, 0.8645], [0.4591, 0.2829, 0.6313], [0.3450, 0.0947, 0.2484], [0.1752, 0.3214, 0.9610], [0.8196, 0.6774, 0.0369], [0.9976, 0.9995, 0.9992], [0.4977, 0.9996, 0.4992]],
  "e_tot_ev_per_atom": -4.733,
  "vol_a3_per_cell": 170.0,
  "crystal_system": "triclinic",
  "spacegroup": "No. 2"
}

{
  "formula": "CrF5",
  "functional": "PBE+U",
  "state": "relaxed",
  "cell": [[-1.4891, 3.7494, 4.2443], [1.4891, -3.7494, 4.2443], [1.4891, 3.7494, -4.2443]],
  "species": ["F", "F", "F", "F", "F", "Cr"],
  "fractional_positions": [[0.8351, 0.5000, 0.3351], [0.2081, 0.2081, 0.0000], [0.1649, 0.5000, 0.6649], [0.7919, 0.7919, 0.0000], [0.5000, 0.0000, 0.5000], [0.0000, 0.0000, 0.0000]],
  "e_tot_ev_per_atom": -4.472,
  "vol_a3_per_cell": 94.8,
  "crystal_system": "orthorhombic",
  "spacegroup": "No. 71"
}

What did the sixth record say?
{
  "formula": "CrF5",
  "functional": "PBE+U",
  "state": "relaxed",
  "cell": [[-1.4891, 3.7494, 4.2443], [1.4891, -3.7494, 4.2443], [1.4891, 3.7494, -4.2443]],
  "species": ["F", "F", "F", "F", "F", "Cr"],
  "fractional_positions": [[0.8351, 0.5000, 0.3351], [0.2081, 0.2081, 0.0000], [0.1649, 0.5000, 0.6649], [0.7919, 0.7919, 0.0000], [0.5000, 0.0000, 0.5000], [0.0000, 0.0000, 0.0000]],
  "e_tot_ev_per_atom": -4.472,
  "vol_a3_per_cell": 94.8,
  "crystal_system": "orthorhombic",
  "spacegroup": "No. 71"
}

- Number 1 is which compound?
  CrF6